Record 1
{
  "formula": "K5Hg2O2",
  "functional": "PBE",
  "state": "relaxed",
  "cell": [[0.000, 6.224, 7.748], [3.697, 0.000, 7.748], [3.697, 6.224, 0.000]],
  "species": ["K", "K", "K", "K", "K", "Hg", "Hg", "O", "O"],
  "fractional_positions": [[0.000, 0.000, 0.000], [0.107, 0.107, 0.393], [0.393, 0.393, 0.107], [0.607, 0.607, 0.893], [0.893, 0.893, 0.607], [0.253, 0.253, 0.747], [0.747, 0.747, 0.253], [0.204, 0.796, 0.204], [0.796, 0.204, 0.796]],
  "n_ef_per_ev_atom": 0.477
}

=====

Record 2
{
  "formula": "W2ICl",
  "functional": "PBE",
  "state": "relaxed",
  "cell": [[6.509, 0.000, 0.000], [0.000, 6.509, 0.000], [0.000, 0.000, 6.509]],
  "species": ["W", "W", "W", "W", "W", "W", "W", "W", "I", "I", "I", "I", "Cl", "Cl", "Cl", "Cl"],
  "fractional_positions": [[0.250, 0.250, 0.250], [0.250, 0.250, 0.750], [0.250, 0.750, 0.250], [0.250, 0.750, 0.750], [0.750, 0.250, 0.250], [0.750, 0.250, 0.750], [0.750, 0.750, 0.250], [0.750, 0.750, 0.750], [0.000, 0.000, 0.000], [0.000, 0.500, 0.500], [0.500, 0.000, 0.500], [0.500, 0.500, 0.000], [0.000, 0.000, 0.500], [0.000, 0.500, 0.000], [0.500, 0.000, 0.000], [0.500, 0.500, 0.500]],
  "n_ef_per_ev_atom": 0.675
}

=====

Record 3
{
  "formula": "Pr3NdTh2S6",
  "functional": "PBE",
  "state": "relaxed",
  "cell": [[3.529, -6.095, 0.000], [3.529, 6.095, 0.000], [-2.347, 0.000, 6.680]],
  "species": ["Pr", "Pr", "Pr", "Nd", "Th", "Th", "S", "S", "S", "S", "S", "S"],
  "fractional_positions": [[0.000, 0.000, 0.000], [0.336, 0.664, 0.000], [0.664, 0.336, 0.000], [0.500, 0.500, 0.500], [0.167, 0.833, 0.500], [0.833, 0.167, 0.500], [0.082, 0.418, 0.253], [0.246, 0.246, 0.744], [0.418, 0.082, 0.253], [0.582, 0.918, 0.747], [0.754, 0.754, 0.256], [0.918, 0.582, 0.747]],
  "n_ef_per_ev_atom": 0.555
}

=====

Record 4
{
  "formula": "Ba2CaTc2N6",
  "functional": "PBE",
  "state": "relaxed",
  "cell": [[5.412, -3.092, 0.000], [5.412, 3.092, 0.000], [-3.837, 0.000, 6.180]],
  "species": ["Ba", "Ba", "Ca", "Tc", "Tc", "N", "N", "N", "N", "N", "N"],
  "fractional_positions": [[0.214, 0.214, 0.199], [0.786, 0.786, 0.801], [0.000, 0.000, 0.500], [0.465, 0.465, 0.796], [0.535, 0.535, 0.204], [0.210, 0.688, 0.219], [0.271, 0.271, 0.640], [0.312, 0.790, 0.781], [0.688, 0.210, 0.219], [0.729, 0.729, 0.360], [0.790, 0.312, 0.781]]
}

=====

no.,uncorrected formation energy (meV/atom)
1,-682
2,1565
3,-1952
4,-554